A plane-wave DFT calculation with PBE was carried out for a relaxed K3AcNd2Se6 crystal.

The structure belongs to space group C2/m (No. 12); the cell edges are 7.6693, 13.2834 and 8.1307 Å and the angles 90.00°, 108.35° and 90.00°. The asymmetric unit holds K at (0.0000, 0.0000, 0.0000), K at (0.0000, 0.3339, 0.0000), Ac at (0.0000, 0.5000, 0.5000), Nd at (0.0000, 0.1668, 0.5000), Se at (0.2269, 0.0000, 0.7133) and Se at (0.2431, 0.3279, 0.7129).

For the uncorrected formation energy, the calculation gives -1.7708 eV/atom.


A plane-wave DFT calculation with PBE was carried out for a relaxed Mn2GaGe2 crystal.

The structure belongs to space group P4/mbm (No. 127); the cell edges are 7.5713, 7.5713 and 2.6790 Å and the angles 90.00°, 90.00° and 90.00°. The asymmetric unit holds Mn at (0.1264, 0.3736, 0.0000), Ga at (0.0000, 0.0000, 0.5000) and Ge at (0.1655, 0.6655, 0.5000).

Its energy above the most stable polymorph in this dataset is 0.000 kcal/mol of atoms. As for the calculated formation energy: 93 meV/atom.


no.,total magnetic moment (μB per formula unit),calculated total energy (eV/atom)
1,0.0,-4.924
2,5.2,-6.027